(P)
YV2Mo2 | PBE | relaxed

Values from the calculation:
- DOS at the Fermi energy: 12.99 states/eV/cell

Cell: 7.646 7.646 3.049 Å, 90.00 90.00 90.00°
Fractional coordinates of all 10 atoms:
1 Y 0.000 0.000 0.000
2 Y 0.500 0.500 0.000
3 V 0.129 0.371 0.000
4 V 0.371 0.871 0.000
5 V 0.629 0.129 0.000
6 V 0.871 0.629 0.000
7 Mo 0.143 0.643 0.500
8 Mo 0.357 0.143 0.500
9 Mo 0.643 0.857 0.500
10 Mo 0.857 0.357 0.500


(Q)
YV2Mo2 | PBE | relaxed

Values from the calculation:
- DOS at the Fermi energy: 3.17 states/eV/cell

Cell: 6.232 6.232 6.232 Å, 141.49 141.49 55.60°
Fractional coordinates of all 5 atoms:
1 Y 0.000 0.000 0.000
2 V 0.250 0.750 0.500
3 V 0.750 0.250 0.500
4 Mo 0.381 0.381 0.000
5 Mo 0.619 0.619 0.000


Quick one: most stable of them? (Q)


(P)
YVMo2 | PBE | relaxed

Values from the calculation:
- DOS at the Fermi energy: 5.49 states/eV/cell

Cell: 4.618 4.618 4.618 Å, 60.00 60.00 60.00°
Fractional coordinates of all 4 atoms:
1 Y 0.000 0.000 0.000
2 V 0.500 0.500 0.500
3 Mo 0.250 0.250 0.250
4 Mo 0.750 0.750 0.750


(Q)
YVMo2 | PBE | relaxed

Values from the calculation:
- DOS at the Fermi energy: 7.25 states/eV/cell

Cell: 9.320 9.320 9.320 Å, 151.40 151.40 40.89°
Fractional coordinates of all 8 atoms:
1 Y 0.000 0.000 0.000
2 Y 0.750 0.250 0.500
3 V 0.250 0.750 0.500
4 V 0.500 0.500 0.000
5 Mo 0.307 0.625 0.182
6 Mo 0.375 0.557 0.682
7 Mo 0.443 0.125 0.818
8 Mo 0.875 0.693 0.318


Quick one: most stable of them? (P)


(P)
ZrV3Mo | PBE | relaxed

Values from the calculation:
- DOS at the Fermi energy: 8.09 states/eV/cell

Cell: 4.517 4.517 4.517 Å, 90.00 90.00 90.00°
Fractional coordinates of all 5 atoms:
1 Zr 0.000 0.000 0.000
2 V 0.000 0.000 0.500
3 V 0.000 0.500 0.000
4 V 0.500 0.000 0.000
5 Mo 0.500 0.500 0.500


(Q)
ZrV3Mo | PBE | relaxed

Values from the calculation:
- DOS at the Fermi energy: 5.86 states/eV/cell

Cell: 4.557 4.557 4.557 Å, 90.00 90.00 90.00°
Fractional coordinates of all 5 atoms:
1 Zr 0.000 0.000 0.000
2 V 0.000 0.500 0.500
3 V 0.500 0.000 0.500
4 V 0.500 0.500 0.000
5 Mo 0.500 0.500 0.500


Quick one: most stable of them? (Q)